1.
SmGd2Sn7 | GGA-PBE | relaxed

a = 4.529 Å, b = 25.765 Å, c = 4.581 Å
α = 90.00°, β = 90.00°, γ = 90.00°
Space group Cmmm (No. 65)
Symmetry-distinct sites (fractional):
Sm  0.000  0.000  0.000 (multiplicity 2)
Gd  0.000  0.186  0.000 (multiplicity 4)
Sn  0.000  0.097  0.500 (multiplicity 4)
Sn  0.000  0.290  0.500 (multiplicity 4)
Sn  0.000  0.404  0.000 (multiplicity 4)
Sn  0.000  0.500  0.500 (multiplicity 2)

Computed properties:
- Raw total energy: -4.7664 eV per atom
- Total moment: 0.00 μB per atom

---

2.
LiAcTa | GGA-PBE | relaxed

a = 7.044 Å, b = 7.044 Å, c = 7.044 Å
α = 90.00°, β = 90.00°, γ = 90.00°
Space group F-43m (No. 216)
Symmetry-distinct sites (fractional):
Li  0.000  0.000  0.000 (multiplicity 4)
Ac  0.250  0.250  0.250 (multiplicity 4)
Ta  0.000  0.000  0.500 (multiplicity 4)

Computed properties:
- Raw total energy: -4.3717 eV per atom
- Total moment: 0.40 μB per atom
- E above lowest polymorph: 0.264 eV/atom

---

3.
Pu2Al | GGA-PBE | relaxed

a = 13.353 Å, b = 13.353 Å, c = 13.353 Å
α = 90.00°, β = 90.00°, γ = 90.00°
Space group Fd-3m (No. 227, origin choice 2)
Symmetry-distinct sites (fractional):
Pu  0.000  0.000  0.000 (multiplicity 16)
Al  0.125  0.125  0.125 (multiplicity 8)

Computed properties:
- Raw total energy: -8.8152 eV per atom
- Total moment: 4.25 μB per atom

---

4.
ErLuBi | GGA-PBE | relaxed

a = 7.207 Å, b = 7.207 Å, c = 7.207 Å
α = 90.00°, β = 90.00°, γ = 90.00°
Space group F-43m (No. 216)
Symmetry-distinct sites (fractional):
Er  0.000  0.000  0.000 (multiplicity 4)
Lu  0.000  0.000  0.500 (multiplicity 4)
Bi  0.250  0.250  0.250 (multiplicity 4)

Computed properties:
- Raw total energy: -4.5355 eV per atom
- Total moment: 0.06 μB per atom

---

total moment of number 1 (SmGd2Sn7)?
0.00 μB per atom

---

Which of these has the lowest total moment?
SmGd2Sn7

---

Among the records above, which one has the lowest raw total energy?
Pu2Al